A plane-wave DFT calculation with GGA-PBE was carried out for AcPuAgTe after structural relaxation.

Unit cell a=5.5261 b=5.5261 c=5.5261 alpha=60.00 beta=60.00 gamma=60.00
With the nearest neighbours (Å) after each atom.
Fractional positions:
Te 0.2500 0.2500 0.2500  4 Pu 3.38, 4 Ac 3.38
Pu 0.5000 0.5000 0.5000  4 Ag 3.38, 4 Te 3.38
Ag 0.7500 0.7500 0.7500  4 Pu 3.38, 4 Ac 3.38
Ac 0.0000 0.0000 0.0000  4 Te 3.38, 4 Ag 3.38

DFT total energy (eV per atom): -6.587
E_form (uncorrected) (eV/atom): -0.48